KMgTa2: relaxed, PBE.

The structure in POSCAR format:
```
KMgTa2
1.0
-1.344 2.282 -1.326
-2.958 0.673 4.157
3.985 3.652 2.245
Ta K Mg
2 1 1
direct
0.000 0.000 0.000
0.500 0.500 0.000
0.500 0.000 0.500
0.000 0.500 0.500
```

* DFT formation energy: 1.0580 eV/atom
* total DFT energy (no corrections): -5.54 eV/atom
* mass density: 7.9 g/cm3
* size of the total moment: 0.272 μB/cell

KMg2Ta: relaxed, PBE.

The structure in POSCAR format:
```
KMg2Ta
1.0
6.834 -0.003 0.000
3.753 5.711 0.000
-4.358 -4.590 2.578
K Mg Ta
1 2 1
direct
0.753 0.253 0.500
0.020 0.020 0.000
0.257 0.757 0.500
0.470 0.470 0.000
```

* DFT formation energy: 0.7646 eV/atom
* total DFT energy (no corrections): -3.27 eV/atom
* mass density: 4.4 g/cm3
* excess energy over the best structure of this formula in the dataset: 316 meV/atom
* size of the total moment: 0.000 μB/cell

KMg2Ta: relaxed, PBE.

The structure in POSCAR format:
```
KMg2Ta
1.0
-0.355 3.035 -0.095
-1.165 -0.217 -2.818
-10.111 -1.050 4.260
Mg K Ta
2 1 1
direct
0.000 0.000 0.056
0.000 0.000 0.444
0.500 0.500 0.750
0.500 0.500 0.250
```

* DFT formation energy: 0.4487 eV/atom
* total DFT energy (no corrections): -3.59 eV/atom
* mass density: 4.3 g/cm3
* excess energy over the best structure of this formula in the dataset: 0 meV/atom
* size of the total moment: 0.152 μB/cell

KMgTa3: relaxed, PBE.

The structure in POSCAR format:
```
KMgTa3
1.0
4.698 0.000 0.000
0.000 4.698 0.000
0.000 0.000 4.698
K Ta Mg
1 3 1
direct
0.000 0.000 0.000
0.500 0.000 0.000
0.000 0.500 0.000
0.000 0.000 0.500
0.500 0.500 0.500
```

* DFT formation energy: 2.8060 eV/atom
* total DFT energy (no corrections): -4.84 eV/atom
* mass density: 9.7 g/cm3
* excess energy over the best structure of this formula in the dataset: 528 meV/atom
* size of the total moment: 0.000 μB/cell

KMgTa: relaxed, PBE.

The structure in POSCAR format:
```
KMgTa
1.0
4.618 0.002 0.000
-0.008 11.916 -0.015
2.309 0.029 3.998
Ta Mg K
2 2 2
direct
0.240 0.979 0.093
0.574 0.981 0.426
0.908 0.099 0.757
0.906 0.861 0.762
0.244 0.307 0.085
0.569 0.653 0.433
```

* DFT formation energy: 0.5243 eV/atom
* total DFT energy (no corrections): -4.32 eV/atom
* mass density: 3.7 g/cm3
* excess energy over the best structure of this formula in the dataset: 144 meV/atom
* size of the total moment: 0.000 μB/cell

K3MgTa: relaxed, PBE.

The structure in POSCAR format:
```
K3MgTa
1.0
-2.023 6.184 0.748
-5.269 -2.118 3.263
3.323 0.406 5.629
Mg K Ta
1 3 1
direct
0.000 0.000 0.000
0.500 0.000 0.000
0.000 0.500 0.000
0.000 0.000 0.500
0.500 0.500 0.500
```

* DFT formation energy: 1.5744 eV/atom
* total DFT energy (no corrections): -1.77 eV/atom
* mass density: 1.9 g/cm3
* excess energy over the best structure of this formula in the dataset: 126 meV/atom
* size of the total moment: 4.414 μB/cell

KMgTa2: relaxed, PBE.

The structure in POSCAR format:
```
KMgTa2
1.0
5.032 -0.016 0.004
4.205 2.764 0.004
0.393 0.117 7.778
Ta K Mg
2 1 1
direct
0.001 0.001 0.955
0.733 0.733 0.855
0.500 0.500 0.512
0.267 0.267 0.177
```

* DFT formation energy: 0.8188 eV/atom
* total DFT energy (no corrections): -5.78 eV/atom
* mass density: 6.5 g/cm3
* size of the total moment: 0.000 μB/cell

KMg2Ta: relaxed, PBE.

The structure in POSCAR format:
```
KMg2Ta
1.0
-1.080 -5.153 0.166
0.016 -2.839 -4.438
3.823 -3.521 -0.860
Mg Ta K
2 1 1
direct
0.000 0.000 0.000
0.250 0.250 0.250
0.750 0.750 0.750
0.500 0.500 0.500
```

* DFT formation energy: 1.1745 eV/atom
* total DFT energy (no corrections): -2.86 eV/atom
* mass density: 4.3 g/cm3
* excess energy over the best structure of this formula in the dataset: 726 meV/atom
* size of the total moment: 2.731 μB/cell

K2MgTa: relaxed, PBE.

The structure in POSCAR format:
```
K2MgTa
1.0
4.692 0.000 0.000
0.000 2.956 0.014
0.000 2.958 10.370
Ta K Mg
1 2 1
direct
0.500 0.822 0.675
0.000 0.063 0.931
0.500 0.187 0.323
0.000 0.429 0.571
```

* DFT formation energy: 0.8768 eV/atom
* total DFT energy (no corrections): -3.03 eV/atom
* mass density: 3.3 g/cm3
* size of the total moment: 0.001 μB/cell

K2MgTa: relaxed, PBE.

The structure in POSCAR format:
```
K2MgTa
1.0
3.004 0.000 0.000
0.000 5.888 0.000
0.000 0.000 6.546
Ta K Mg
1 2 1
direct
0.000 0.500 0.500
0.500 0.500 0.000
0.000 0.000 0.000
0.500 0.000 0.500
```

* DFT formation energy: 1.1152 eV/atom
* total DFT energy (no corrections): -2.80 eV/atom
* mass density: 4.1 g/cm3
* size of the total moment: 1.359 μB/cell

KMgTa: relaxed, PBE.

The structure in POSCAR format:
```
KMgTa
1.0
-4.766 3.117 -0.136
-0.036 -5.347 -1.964
-0.674 -0.921 2.520
Ta Mg K
1 1 1
direct
0.333 0.667 0.000
0.000 0.000 0.000
0.667 0.333 0.500
```

* DFT formation energy: 1.2325 eV/atom
* total DFT energy (no corrections): -3.62 eV/atom
* mass density: 5.2 g/cm3
* excess energy over the best structure of this formula in the dataset: 852 meV/atom
* size of the total moment: 0.000 μB/cell

K2MgTa: relaxed, PBE.

The structure in POSCAR format:
```
K2MgTa
1.0
-1.155 6.077 -3.891
-5.750 4.478 0.534
6.077 -3.379 2.248
K Mg Ta
2 1 1
direct
0.010 0.010 0.000
0.490 0.490 0.000
0.250 0.750 0.500
0.750 0.250 0.500
```

* DFT formation energy: 1.1090 eV/atom
* total DFT energy (no corrections): -2.80 eV/atom
* mass density: 4.1 g/cm3
* size of the total moment: 1.421 μB/cell

- Which formula does entry 7 have?
  KMgTa2

- Among the records above, which one has the highest size of the total moment?
  K3MgTa

Please write out number 5 again, unchanged.
KMgTa: relaxed, PBE.

The structure in POSCAR format:
```
KMgTa
1.0
4.618 0.002 0.000
-0.008 11.916 -0.015
2.309 0.029 3.998
Ta Mg K
2 2 2
direct
0.240 0.979 0.093
0.574 0.981 0.426
0.908 0.099 0.757
0.906 0.861 0.762
0.244 0.307 0.085
0.569 0.653 0.433
```

* DFT formation energy: 0.5243 eV/atom
* total DFT energy (no corrections): -4.32 eV/atom
* mass density: 3.7 g/cm3
* excess energy over the best structure of this formula in the dataset: 144 meV/atom
* size of the total moment: 0.000 μB/cell

- Among the records above, which one has the lowest mass density?
  K3MgTa